Record 1
{
  "formula": "MgInN2O",
  "functional": "PBE-GGA",
  "state": "relaxed",
  "lattice_angstrom": [[-0.0465, -3.2389, -2.5430], [2.9578, -1.7956, 2.2330], [-2.6840, -1.6874, 2.1983]],
  "species": ["Mg", "N", "N", "O", "In"],
  "frac_coords": [[0.0000, 0.0000, 0.0000], [0.0000, 0.5000, 0.0000], [0.5000, 0.0000, 0.0000], [0.0000, 0.0000, 0.5000], [0.5000, 0.5000, 0.5000]],
  "raw_formation_energy_ev_per_atom": 0.68,
  "dos_at_fermi_per_ev_cell": 1.42,
  "mass_density_g_cm3": 4.65,
  "magnetic_moment_mub_per_fu": 3.35,
  "final_energy_ev_per_cell": -22.55
}


Record 2
{
  "formula": "Mg2InPN4",
  "functional": "PBE-GGA",
  "state": "relaxed",
  "lattice_angstrom": [[5.2833, 0.0000, 0.0000], [0.0000, 5.7084, 0.0000], [0.0000, 0.0000, 6.4816]],
  "species": ["Mg", "Mg", "Mg", "Mg", "In", "In", "P", "P", "N", "N", "N", "N", "N", "N", "N", "N"],
  "frac_coords": [[0.4956, 0.3303, 0.2526], [0.4956, 0.3303, 0.7474], [0.9956, 0.6697, 0.7526], [0.9956, 0.6697, 0.2474], [0.9972, 0.1478, 0.5000], [0.4972, 0.8522, 0.0000], [0.5024, 0.8238, 0.5000], [0.0024, 0.1762, 0.0000], [0.3162, 0.1898, 0.0000], [0.8162, 0.8102, 0.5000], [0.4123, 0.1054, 0.5000], [0.9123, 0.8946, 0.0000], [0.3903, 0.6804, 0.7070], [0.8903, 0.3196, 0.2070], [0.8903, 0.3196, 0.7930], [0.3903, 0.6804, 0.2930]],
  "raw_formation_energy_ev_per_atom": -0.68,
  "dos_at_fermi_per_ev_cell": 0.00,
  "mass_density_g_cm3": 4.25,
  "magnetic_moment_mub_per_fu": 0.00,
  "final_energy_ev_per_cell": -100.10
}


Record 3
{
  "formula": "Mg2PaInN4",
  "functional": "PBE-GGA",
  "state": "relaxed",
  "lattice_angstrom": [[-0.4812, -1.6379, -2.9866], [5.2950, -1.8654, 0.1699], [0.0653, -4.9039, 2.6789]],
  "species": ["Mg", "Mg", "Pa", "In", "N", "N", "N", "N"],
  "frac_coords": [[0.0000, 0.0000, 0.0000], [0.5000, 0.0000, 0.5000], [0.5000, 0.5000, 0.0000], [0.0000, 0.5000, 0.5000], [0.0000, 0.7466, 0.7681], [0.0000, 0.2534, 0.2319], [0.5000, 0.7496, 0.2502], [0.5000, 0.2504, 0.7498]],
  "raw_formation_energy_ev_per_atom": -0.82,
  "mass_density_g_cm3": 7.30,
  "magnetic_moment_mub_per_fu": 0.00,
  "final_energy_ev_per_cell": -55.31
}